Record 1
Entry from Alexandria: an optimized crystal structure of ErGaHg6 (PBE-GGA).

Values from the calculation:
- Energy relative to the elements: 128 meV/atom
- N(E_F): 0.439 states/eV per atom

Cell and atoms, written as extended XYZ:
```
8
Lattice="3.1274 1.8056 7.7265 -3.1274 1.8056 7.7265 0.0000 -3.6112 7.7265" Properties=species:S:1:pos:R:3 pbc="T T T"
Er 0.0000 0.0000 0.0000
Ga 0.0000 0.0000 11.5898
Hg 0.0000 -1.7467 5.3788
Hg -1.5127 0.8733 5.3788
Hg -1.5127 -0.8733 17.8008
Hg 1.5127 0.8733 5.3788
Hg 1.5127 -0.8733 17.8008
Hg 0.0000 1.7467 17.8008
```

---

Record 2
Entry from Alexandria: an optimized crystal structure of Er2GaHg (PBE-GGA).

Values from the calculation:
- Energy relative to the elements: -402 meV/atom
- N(E_F): 0.662 states/eV per atom

Cell and atoms, written as extended XYZ:
```
12
Lattice="3.6362 0.0000 0.0000 -1.8181 3.1490 0.0000 0.0000 0.0000 26.8816" Properties=species:S:1:pos:R:3 pbc="T T T"
Er 0.0000 0.0000 6.6077
Er 0.0000 0.0000 20.2739
Er 0.0000 2.0993 11.3133
Er 0.0000 2.0993 24.5288
Er 1.8181 1.0497 2.3528
Er 1.8181 1.0497 15.5683
Ga 0.0000 0.0000 13.4408
Ga 0.0000 2.0993 4.4803
Ga 1.8181 1.0497 22.4013
Hg 0.0000 0.0000 0.0000
Hg 0.0000 2.0993 17.9211
Hg 1.8181 1.0497 8.9605
```

---

Record 3
Entry from Alexandria: an optimized crystal structure of HoErGaHg (PBE-GGA).

Values from the calculation:
- Energy relative to the elements: -528 meV/atom
- N(E_F): 0.655 states/eV per atom
- Offset from the most stable computed form: 0.000 eV/atom

Cell and atoms, written as extended XYZ:
```
4
Lattice="3.5994 0.0000 0.0000 0.0000 3.5994 0.0000 0.0000 0.0000 7.3596" Properties=species:S:1:pos:R:3 pbc="T T T"
Ho 0.0000 0.0000 0.0000
Er 0.0000 0.0000 3.8753
Ga 1.7997 1.7997 5.6085
Hg 1.7997 1.7997 1.9585
```

---

Record 4
Entry from Alexandria: an optimized crystal structure of HoErGaHg (PBE-GGA).

Values from the calculation:
- Energy relative to the elements: -506 meV/atom
- N(E_F): 1.061 states/eV per atom
- Offset from the most stable computed form: 0.022 eV/atom

Cell and atoms, written as extended XYZ:
```
16
Lattice="7.2764 0.0000 0.0000 0.0000 7.2764 0.0000 0.0000 0.0000 7.2764" Properties=species:S:1:pos:R:3 pbc="T T T"
Ho 0.0000 0.0000 0.0000
Ho 0.0000 3.6382 3.6382
Ho 3.6382 0.0000 3.6382
Ho 3.6382 3.6382 0.0000
Er 0.0000 0.0000 3.6382
Er 0.0000 3.6382 0.0000
Er 3.6382 0.0000 0.0000
Er 3.6382 3.6382 3.6382
Ga 1.8191 1.8191 5.4573
Ga 1.8191 5.4573 1.8191
Ga 5.4573 1.8191 1.8191
Ga 5.4573 5.4573 5.4573
Hg 1.8191 1.8191 1.8191
Hg 1.8191 5.4573 5.4573
Hg 5.4573 1.8191 5.4573
Hg 5.4573 5.4573 1.8191
```

---

Record 5
Entry from Alexandria: an optimized crystal structure of ErInGaHg (PBE-GGA).

Values from the calculation:
- Energy relative to the elements: -376 meV/atom
- N(E_F): 0.515 states/eV per atom
- Offset from the most stable computed form: 0.000 eV/atom

Cell and atoms, written as extended XYZ:
```
4
Lattice="4.3925 0.0000 0.0000 0.0000 4.4347 0.0000 0.0000 0.0000 4.6117" Properties=species:S:1:pos:R:3 pbc="T T T"
Er 0.0000 0.0000 0.0000
In 0.0000 2.2174 2.3059
Ga 2.1962 2.2174 0.0000
Hg 2.1962 0.0000 2.3059
```

---

Record 6
Entry from Alexandria: an optimized crystal structure of ErInGaHg (PBE-GGA).

Values from the calculation:
- Energy relative to the elements: -238 meV/atom
- N(E_F): 0.918 states/eV per atom
- Offset from the most stable computed form: 0.139 eV/atom

Cell and atoms, written as extended XYZ:
```
16
Lattice="7.1906 0.0000 0.0000 0.0000 7.1906 0.0000 0.0000 0.0000 7.1906" Properties=species:S:1:pos:R:3 pbc="T T T"
Er 0.0000 0.0000 0.0000
Er 0.0000 3.5953 3.5953
Er 3.5953 0.0000 3.5953
Er 3.5953 3.5953 0.0000
In 0.0000 0.0000 3.5953
In 0.0000 3.5953 0.0000
In 3.5953 0.0000 0.0000
In 3.5953 3.5953 3.5953
Ga 1.7976 1.7976 5.3929
Ga 1.7976 5.3929 1.7976
Ga 5.3929 1.7976 1.7976
Ga 5.3929 5.3929 5.3929
Hg 1.7976 1.7976 1.7976
Hg 1.7976 5.3929 5.3929
Hg 5.3929 1.7976 5.3929
Hg 5.3929 5.3929 1.7976
```

---

Record 7
Entry from Alexandria: an optimized crystal structure of LaErGaHg (PBE-GGA).

Values from the calculation:
- Energy relative to the elements: -499 meV/atom
- N(E_F): 1.180 states/eV per atom

Cell and atoms, written as extended XYZ:
```
16
Lattice="7.5077 0.0000 0.0000 0.0000 7.5077 0.0000 0.0000 0.0000 7.5077" Properties=species:S:1:pos:R:3 pbc="T T T"
La 0.0000 0.0000 0.0000
La 0.0000 3.7538 3.7538
La 3.7538 0.0000 3.7538
La 3.7538 3.7538 0.0000
Er 0.0000 0.0000 3.7538
Er 0.0000 3.7538 0.0000
Er 3.7538 0.0000 0.0000
Er 3.7538 3.7538 3.7538
Ga 1.8769 1.8769 5.6307
Ga 1.8769 5.6307 1.8769
Ga 5.6307 1.8769 1.8769
Ga 5.6307 5.6307 5.6307
Hg 1.8769 1.8769 1.8769
Hg 1.8769 5.6307 5.6307
Hg 5.6307 1.8769 5.6307
Hg 5.6307 5.6307 1.8769
```

---

Record 8
Entry from Alexandria: an optimized crystal structure of LiErGaHg (PBE-GGA).

Values from the calculation:
- Energy relative to the elements: -443 meV/atom
- N(E_F): 0.564 states/eV per atom

Cell and atoms, written as extended XYZ:
```
16
Lattice="6.9261 0.0000 0.0000 0.0000 6.9261 0.0000 0.0000 0.0000 6.9261" Properties=species:S:1:pos:R:3 pbc="T T T"
Li 0.0000 0.0000 0.0000
Li 0.0000 3.4630 3.4630
Li 3.4630 0.0000 3.4630
Li 3.4630 3.4630 0.0000
Er 0.0000 0.0000 3.4630
Er 0.0000 3.4630 0.0000
Er 3.4630 0.0000 0.0000
Er 3.4630 3.4630 3.4630
Ga 1.7315 1.7315 5.1946
Ga 1.7315 5.1946 1.7315
Ga 5.1946 1.7315 1.7315
Ga 5.1946 5.1946 5.1946
Hg 1.7315 1.7315 1.7315
Hg 1.7315 5.1946 5.1946
Hg 5.1946 1.7315 5.1946
Hg 5.1946 5.1946 1.7315
```

---

Record 9
Entry from Alexandria: an optimized crystal structure of ErLuGaHg (PBE-GGA).

Values from the calculation:
- Energy relative to the elements: -494 meV/atom
- N(E_F): 0.949 states/eV per atom

Cell and atoms, written as extended XYZ:
```
16
Lattice="7.2194 0.0000 0.0000 0.0000 7.2194 0.0000 0.0000 0.0000 7.2194" Properties=species:S:1:pos:R:3 pbc="T T T"
Er 0.0000 0.0000 0.0000
Er 0.0000 3.6097 3.6097
Er 3.6097 0.0000 3.6097
Er 3.6097 3.6097 0.0000
Lu 0.0000 0.0000 3.6097
Lu 0.0000 3.6097 0.0000
Lu 3.6097 0.0000 0.0000
Lu 3.6097 3.6097 3.6097
Ga 1.8049 1.8049 5.4146
Ga 1.8049 5.4146 1.8049
Ga 5.4146 1.8049 1.8049
Ga 5.4146 5.4146 5.4146
Hg 1.8049 1.8049 1.8049
Hg 1.8049 5.4146 5.4146
Hg 5.4146 1.8049 5.4146
Hg 5.4146 5.4146 1.8049
```

---

Record 10
Entry from Alexandria: an optimized crystal structure of ErMgGaHg (PBE-GGA).

Values from the calculation:
- Energy relative to the elements: -430 meV/atom
- N(E_F): 0.159 states/eV per atom

Cell and atoms, written as extended XYZ:
```
16
Lattice="7.0494 0.0000 0.0000 0.0000 7.0494 0.0000 0.0000 0.0000 7.0494" Properties=species:S:1:pos:R:3 pbc="T T T"
Er 0.0000 0.0000 0.0000
Er 0.0000 3.5247 3.5247
Er 3.5247 0.0000 3.5247
Er 3.5247 3.5247 0.0000
Mg 0.0000 0.0000 3.5247
Mg 0.0000 3.5247 0.0000
Mg 3.5247 0.0000 0.0000
Mg 3.5247 3.5247 3.5247
Ga 1.7623 1.7623 5.2870
Ga 1.7623 5.2870 1.7623
Ga 5.2870 1.7623 1.7623
Ga 5.2870 5.2870 5.2870
Hg 1.7623 1.7623 1.7623
Hg 1.7623 5.2870 5.2870
Hg 5.2870 1.7623 5.2870
Hg 5.2870 5.2870 1.7623
```

---

Record 11
Entry from Alexandria: an optimized crystal structure of ErPaGaHg (PBE-GGA).

Values from the calculation:
- Energy relative to the elements: -152 meV/atom
- N(E_F): 1.738 states/eV per atom

Cell and atoms, written as extended XYZ:
```
16
Lattice="7.2907 0.0000 0.0000 0.0000 7.2907 0.0000 0.0000 0.0000 7.2907" Properties=species:S:1:pos:R:3 pbc="T T T"
Er 0.0000 0.0000 0.0000
Er 0.0000 3.6454 3.6454
Er 3.6454 0.0000 3.6454
Er 3.6454 3.6454 0.0000
Pa 0.0000 0.0000 3.6454
Pa 0.0000 3.6454 0.0000
Pa 3.6454 0.0000 0.0000
Pa 3.6454 3.6454 3.6454
Ga 1.8227 1.8227 1.8227
Ga 1.8227 5.4680 5.4680
Ga 5.4680 1.8227 5.4680
Ga 5.4680 5.4680 1.8227
Hg 1.8227 1.8227 5.4680
Hg 1.8227 5.4680 1.8227
Hg 5.4680 1.8227 1.8227
Hg 5.4680 5.4680 5.4680
```

---

Record 12
Entry from Alexandria: an optimized crystal structure of ErGaHgPb (PBE-GGA).

Values from the calculation:
- Energy relative to the elements: -180 meV/atom
- N(E_F): 0.651 states/eV per atom

Cell and atoms, written as extended XYZ:
```
16
Lattice="7.4032 0.0000 0.0000 0.0000 7.4032 0.0000 0.0000 0.0000 7.4032" Properties=species:S:1:pos:R:3 pbc="T T T"
Er 0.0000 0.0000 0.0000
Er 0.0000 3.7016 3.7016
Er 3.7016 0.0000 3.7016
Er 3.7016 3.7016 0.0000
Ga 1.8508 1.8508 1.8508
Ga 1.8508 5.5524 5.5524
Ga 5.5524 1.8508 5.5524
Ga 5.5524 5.5524 1.8508
Hg 1.8508 1.8508 5.5524
Hg 1.8508 5.5524 1.8508
Hg 5.5524 1.8508 1.8508
Hg 5.5524 5.5524 5.5524
Pb 0.0000 0.0000 3.7016
Pb 0.0000 3.7016 0.0000
Pb 3.7016 0.0000 0.0000
Pb 3.7016 3.7016 3.7016
```

---

Record 13
Entry from Alexandria: an optimized crystal structure of ErGaHgPd (PBE-GGA).

Values from the calculation:
- Energy relative to the elements: -523 meV/atom
- N(E_F): 0.442 states/eV per atom

Cell and atoms, written as extended XYZ:
```
16
Lattice="6.8193 0.0000 0.0000 0.0000 6.8193 0.0000 0.0000 0.0000 6.8193" Properties=species:S:1:pos:R:3 pbc="T T T"
Er 0.0000 0.0000 0.0000
Er 0.0000 3.4097 3.4097
Er 3.4097 0.0000 3.4097
Er 3.4097 3.4097 0.0000
Ga 0.0000 0.0000 3.4097
Ga 0.0000 3.4097 0.0000
Ga 3.4097 0.0000 0.0000
Ga 3.4097 3.4097 3.4097
Hg 1.7048 1.7048 1.7048
Hg 1.7048 5.1145 5.1145
Hg 5.1145 1.7048 5.1145
Hg 5.1145 5.1145 1.7048
Pd 1.7048 1.7048 5.1145
Pd 1.7048 5.1145 1.7048
Pd 5.1145 1.7048 1.7048
Pd 5.1145 5.1145 5.1145
```

---

Record 14
Entry from Alexandria: an optimized crystal structure of PmErGaHg (PBE-GGA).

Values from the calculation:
- Energy relative to the elements: -529 meV/atom
- N(E_F): 0.699 states/eV per atom
- Offset from the most stable computed form: 0.000 eV/atom

Cell and atoms, written as extended XYZ:
```
4
Lattice="3.6357 0.0000 0.0000 0.0000 3.6357 0.0000 0.0000 0.0000 7.5354" Properties=species:S:1:pos:R:3 pbc="T T T"
Pm 0.0000 0.0000 0.0000
Er 0.0000 0.0000 3.9832
Ga 1.8179 1.8179 5.6817
Hg 1.8179 1.8179 2.1521
```

---

Record 15
Entry from Alexandria: an optimized crystal structure of PmErGaHg (PBE-GGA).

Values from the calculation:
- Energy relative to the elements: -500 meV/atom
- N(E_F): 1.090 states/eV per atom
- Offset from the most stable computed form: 0.029 eV/atom

Cell and atoms, written as extended XYZ:
```
16
Lattice="7.3930 0.0000 0.0000 0.0000 7.3930 0.0000 0.0000 0.0000 7.3930" Properties=species:S:1:pos:R:3 pbc="T T T"
Pm 0.0000 0.0000 0.0000
Pm 0.0000 3.6965 3.6965
Pm 3.6965 0.0000 3.6965
Pm 3.6965 3.6965 0.0000
Er 0.0000 0.0000 3.6965
Er 0.0000 3.6965 0.0000
Er 3.6965 0.0000 0.0000
Er 3.6965 3.6965 3.6965
Ga 1.8483 1.8483 1.8483
Ga 1.8483 5.5448 5.5448
Ga 5.5448 1.8483 5.5448
Ga 5.5448 5.5448 1.8483
Hg 1.8483 1.8483 5.5448
Hg 1.8483 5.5448 1.8483
Hg 5.5448 1.8483 1.8483
Hg 5.5448 5.5448 5.5448
```

---

Record 16
Entry from Alexandria: an optimized crystal structure of PrErGaHg (PBE-GGA).

Values from the calculation:
- Energy relative to the elements: -524 meV/atom
- N(E_F): 0.682 states/eV per atom
- Offset from the most stable computed form: 0.000 eV/atom

Cell and atoms, written as extended XYZ:
```
4
Lattice="3.6577 0.0000 0.0000 0.0000 3.6577 0.0000 0.0000 0.0000 7.6052" Properties=species:S:1:pos:R:3 pbc="T T T"
Pr 0.0000 0.0000 0.0000
Er 0.0000 0.0000 4.0206
Ga 1.8288 1.8288 5.6994
Hg 1.8288 1.8288 2.2265
```

---

Record 17
Entry from Alexandria: an optimized crystal structure of PrErGaHg (PBE-GGA).

Values from the calculation:
- Energy relative to the elements: -487 meV/atom
- N(E_F): 1.110 states/eV per atom
- Offset from the most stable computed form: 0.037 eV/atom

Cell and atoms, written as extended XYZ:
```
16
Lattice="7.4508 0.0000 0.0000 0.0000 7.4508 0.0000 0.0000 0.0000 7.4508" Properties=species:S:1:pos:R:3 pbc="T T T"
Pr 0.0000 0.0000 0.0000
Pr 0.0000 3.7254 3.7254
Pr 3.7254 0.0000 3.7254
Pr 3.7254 3.7254 0.0000
Er 0.0000 0.0000 3.7254
Er 0.0000 3.7254 0.0000
Er 3.7254 0.0000 0.0000
Er 3.7254 3.7254 3.7254
Ga 1.8627 1.8627 5.5881
Ga 1.8627 5.5881 1.8627
Ga 5.5881 1.8627 1.8627
Ga 5.5881 5.5881 5.5881
Hg 1.8627 1.8627 1.8627
Hg 1.8627 5.5881 5.5881
Hg 5.5881 1.8627 5.5881
Hg 5.5881 5.5881 1.8627
```

---

Record 18
Entry from Alexandria: an optimized crystal structure of ErPuGaHg (PBE-GGA).

Values from the calculation:
- Energy relative to the elements: -317 meV/atom
- N(E_F): 2.201 states/eV per atom

Cell and atoms, written as extended XYZ:
```
16
Lattice="7.3260 0.0000 0.0000 0.0000 7.3260 0.0000 0.0000 0.0000 7.3260" Properties=species:S:1:pos:R:3 pbc="T T T"
Er 0.0000 0.0000 0.0000
Er 0.0000 3.6630 3.6630
Er 3.6630 0.0000 3.6630
Er 3.6630 3.6630 0.0000
Pu 0.0000 0.0000 3.6630
Pu 0.0000 3.6630 0.0000
Pu 3.6630 0.0000 0.0000
Pu 3.6630 3.6630 3.6630
Ga 1.8315 1.8315 5.4945
Ga 1.8315 5.4945 1.8315
Ga 5.4945 1.8315 1.8315
Ga 5.4945 5.4945 5.4945
Hg 1.8315 1.8315 1.8315
Hg 1.8315 5.4945 5.4945
Hg 5.4945 1.8315 5.4945
Hg 5.4945 5.4945 1.8315
```

---

Record 19
Entry from Alexandria: an optimized crystal structure of ErScGaHg (PBE-GGA).

Values from the calculation:
- Energy relative to the elements: -490 meV/atom
- N(E_F): 1.075 states/eV per atom
- Offset from the most stable computed form: 0.025 eV/atom

Cell and atoms, written as extended XYZ:
```
16
Lattice="7.0888 0.0000 0.0000 0.0000 7.0888 0.0000 0.0000 0.0000 7.0888" Properties=species:S:1:pos:R:3 pbc="T T T"
Er 0.0000 0.0000 0.0000
Er 0.0000 3.5444 3.5444
Er 3.5444 0.0000 3.5444
Er 3.5444 3.5444 0.0000
Sc 0.0000 0.0000 3.5444
Sc 0.0000 3.5444 0.0000
Sc 3.5444 0.0000 0.0000
Sc 3.5444 3.5444 3.5444
Ga 1.7722 1.7722 1.7722
Ga 1.7722 5.3166 5.3166
Ga 5.3166 1.7722 5.3166
Ga 5.3166 5.3166 1.7722
Hg 1.7722 1.7722 5.3166
Hg 1.7722 5.3166 1.7722
Hg 5.3166 1.7722 1.7722
Hg 5.3166 5.3166 5.3166
```

---

Record 20
Entry from Alexandria: an optimized crystal structure of ErScGaHg (PBE-GGA).

Values from the calculation:
- Energy relative to the elements: -515 meV/atom
- N(E_F): 0.710 states/eV per atom
- Offset from the most stable computed form: 0.000 eV/atom

Cell and atoms, written as extended XYZ:
```
4
Lattice="3.4996 0.0000 0.0000 0.0000 3.4996 0.0000 0.0000 0.0000 7.1835" Properties=species:S:1:pos:R:3 pbc="T T T"
Er 0.0000 0.0000 0.0000
Sc 0.0000 0.0000 3.7945
Ga 1.7498 1.7498 5.3890
Hg 1.7498 1.7498 2.0338
```